[1]
VASP calculation (PBE) on a relaxed AgHS2N crystal.

Lattice parameters (Å, degrees): 4.9491 4.9491 4.1337 90.00 90.00 90.00
With the nearest neighbours (Å) after each atom.
Positions (direct):
H 0.5000 0.5000 0.5000  8 S 3.22, 4 N 3.50
S 0.0000 0.5000 0.0000  2 Ag 2.47
S 0.5000 0.0000 0.0000  2 Ag 2.47
Ag 0.0000 0.0000 0.0000  2 N 2.07
N 0.0000 0.0000 0.5000  2 Ag 2.07

***

[2]
VASP calculation (PBE) on a relaxed AgHSN2 crystal.

Lattice parameters (Å, degrees): 4.1029 4.1029 5.3082 90.00 90.00 90.00
With the nearest neighbours (Å) after each atom.
Positions (direct):
H 0.5000 0.5000 0.5000  4 S 2.90
S 0.0000 0.0000 0.5000  2 Ag 2.65, 4 H 2.90
Ag 0.0000 0.0000 0.0000  4 N 2.05
N 0.0000 0.5000 0.0000  2 Ag 2.05
N 0.5000 0.0000 0.0000  2 Ag 2.05

***

[3]
VASP calculation (PBE) on a relaxed AgHSN2 crystal.

Lattice parameters (Å, degrees): 4.1016 4.1016 3.1066 90.00 90.00 90.00
With the nearest neighbours (Å) after each atom.
Positions (direct):
H 0.0000 0.0000 0.0000  2 S 1.55
S 0.0000 0.0000 0.5000  2 H 1.55
Ag 0.5000 0.5000 0.5000  8 N 2.57
N 0.0000 0.5000 0.0000  2 H 2.05
N 0.5000 0.0000 0.0000  2 H 2.05

***

[4]
VASP calculation (PBE) on a relaxed AgHSe2N crystal.

Lattice parameters (Å, degrees): 5.2328 5.2328 2.6905 90.00 90.00 90.00
With the nearest neighbours (Å) after each atom.
Positions (direct):
H 0.0000 0.0000 0.0000  2 N 1.35
Se 0.0000 0.5000 0.0000  2 H 2.62, 2 Se 2.69
Se 0.5000 0.0000 0.0000  2 H 2.62, 2 Se 2.69
Ag 0.5000 0.5000 0.5000  2 Ag 2.69, 8 Se 2.94
N 0.0000 0.0000 0.5000  2 H 1.35

***

[5]
VASP calculation (PBE) on a relaxed AgHSe2N crystal.

Lattice parameters (Å, degrees): 5.2887 5.2887 4.0572 90.00 90.00 90.00
With the nearest neighbours (Å) after each atom.
Positions (direct):
H 0.5000 0.5000 0.5000  8 Se 3.33
Se 0.0000 0.5000 0.0000  2 Ag 2.64
Se 0.5000 0.0000 0.0000  2 Ag 2.64
Ag 0.0000 0.0000 0.0000  2 N 2.03
N 0.0000 0.0000 0.5000  2 Ag 2.03

***

[6]
VASP calculation (PBE) on a relaxed AgHSeN2 crystal.

Lattice parameters (Å, degrees): 4.0451 4.0451 5.7007 90.00 90.00 90.00
With the nearest neighbours (Å) after each atom.
Positions (direct):
H 0.5000 0.5000 0.5000  4 Se 2.86
Se 0.0000 0.0000 0.5000  2 Ag 2.85, 4 H 2.86
Ag 0.0000 0.0000 0.0000  4 N 2.02
N 0.0000 0.5000 0.0000  2 Ag 2.02
N 0.5000 0.0000 0.0000  2 Ag 2.02

***

[7]
VASP calculation (PBE) on a relaxed AgHSeN2 crystal.

Lattice parameters (Å, degrees): 4.0410 4.0410 3.3682 90.00 90.00 90.00
With the nearest neighbours (Å) after each atom.
Positions (direct):
H 0.0000 0.0000 0.0000  2 Se 1.68
Se 0.0000 0.0000 0.5000  2 H 1.68
Ag 0.5000 0.5000 0.5000  8 N 2.63, 4 Se 2.86
N 0.0000 0.5000 0.0000  2 H 2.02
N 0.5000 0.0000 0.0000  2 H 2.02

***

[8]
VASP calculation (PBE) on a relaxed SrAgHN2 crystal.

Lattice parameters (Å, degrees): 4.3059 3.4815 4.3059 90.00 90.00 90.00
With the nearest neighbours (Å) after each atom.
Positions (direct):
Sr 0.5000 0.5000 0.5000  8 N 2.77, 4 Ag 3.04
H 0.0000 0.0000 0.0000  2 Ag 1.74
Ag 0.0000 0.5000 0.0000  2 H 1.74
N 0.0000 0.0000 0.5000  2 H 2.15
N 0.5000 0.0000 0.0000  2 H 2.15

***

[9]
VASP calculation (PBE) on a relaxed AgTe2HN crystal.

Lattice parameters (Å, degrees): 5.4070 5.4070 2.9177 90.00 90.00 90.00
With the nearest neighbours (Å) after each atom.
Positions (direct):
H 0.0000 0.0000 0.0000  2 N 1.46
Te 0.0000 0.5000 0.0000  2 H 2.70, 2 Te 2.92
Te 0.5000 0.0000 0.0000  2 H 2.70, 2 Te 2.92
Ag 0.5000 0.5000 0.5000  2 Ag 2.92, 8 Te 3.07
N 0.0000 0.0000 0.5000  2 H 1.46

***

[10]
VASP calculation (PBE) on a relaxed AgTe2HN crystal.

Lattice parameters (Å, degrees): 5.6577 5.6577 3.9170 90.00 90.00 90.00
With the nearest neighbours (Å) after each atom.
Positions (direct):
H 0.5000 0.5000 0.5000  8 Te 3.44
Te 0.0000 0.5000 0.0000  2 Ag 2.83
Te 0.5000 0.0000 0.0000  2 Ag 2.83
Ag 0.0000 0.0000 0.0000  2 N 1.96
N 0.0000 0.0000 0.5000  2 Ag 1.96

***

[11]
VASP calculation (PBE) on a relaxed AgTeH6N2 crystal.

Lattice parameters (Å, degrees): 8.1444 8.1444 5.6774 90.20 90.20 120.29
With the nearest neighbours (Å) after each atom.
Positions (direct):
Ag 0.3769 0.6231 0.2500  2 N 2.37
Ag 0.6231 0.3769 0.7500  2 N 2.37
Te 0.5720 0.4280 0.2500  3 Ag 2.76-2.93, 2 H 2.88
Te 0.4280 0.5720 0.7500  3 Ag 2.76-2.93, 2 H 2.88
H 0.9351 0.4473 0.2488  1 N 1.03
H 0.5527 0.0649 0.2512  1 N 1.03
H 0.0649 0.5527 0.7512  1 N 1.03
H 0.4473 0.9351 0.7488  1 N 1.03
H 0.0247 0.3336 0.1036  1 N 1.02
H 0.6664 0.9753 0.3964  1 N 1.02
H 0.9753 0.6664 0.8964  1 N 1.02
H 0.3336 0.0247 0.6036  1 N 1.02
H 0.0261 0.3352 0.3943  1 N 1.02
H 0.6648 0.9739 0.1057  1 N 1.02
H 0.9739 0.6648 0.6057  1 N 1.02
H 0.3352 0.0261 0.8943  1 N 1.02
N 0.4156 0.0426 0.7489  3 H 1.02-1.03
N 0.9574 0.5844 0.7511  3 H 1.02-1.03
N 0.5844 0.9574 0.2511  3 H 1.02-1.03
N 0.0426 0.4156 0.2489  3 H 1.02-1.03

***

[12]
VASP calculation (PBE) on a relaxed VAg2HN crystal.

Lattice parameters (Å, degrees): 5.2434 3.6255 5.2434 90.00 90.00 90.00
With the nearest neighbours (Å) after each atom.
Positions (direct):
H 0.5000 0.5000 0.5000  8 Ag 3.19
N 0.0000 0.5000 0.0000  2 V 1.81
Ag 0.0000 0.0000 0.5000  2 V 2.62
Ag 0.5000 0.0000 0.0000  2 V 2.62
V 0.0000 0.0000 0.0000  2 N 1.81

***

no.,total DFT energy (no corrections) (eV per cell),D(E_F) (states/eV per cell)
1,-13.1,5.98
2,-14.9,2.85
3,-16.6,3.58
4,-16.6,2.91
5,-12.8,4.52
6,-15.0,1.42
7,-16.3,2.61
8,-19.4,3.43
9,-16.1,2.97
10,-13.0,4.05
11,-90.0,5.01
12,-21.0,3.73